! PBE Tb4Sc2Cd, optimized geometry; values from VASP
&SYSTEM
  ibrav = 0, nat = 14, ntyp = 3
/
ATOMIC_SPECIES
Tb 158.93 Tb.upf
Sc 44.96 Sc.upf
Cd 112.41 Cd.upf
ATOMIC_POSITIONS angstrom
Tb -0.389 0.519 5.087
Tb 0.020 2.096 11.522
Tb -1.755 3.383 6.907
Tb -4.461 2.603 9.121
Tb 0.488 -1.441 7.950
Tb -3.993 -0.934 5.549
Tb -2.218 -2.221 10.163
Tb -3.584 0.642 11.984
Sc 0.395 -0.990 10.893
Sc -2.511 -0.724 2.055
Sc -1.987 0.581 8.535
Sc -4.368 2.151 6.177
Cd 1.308 -1.810 3.651
Cd -1.203 -2.534 5.706
CELL_PARAMETERS angstrom
-5.023 -1.448 4.109
2.617 -3.620 7.303
-1.567 6.229 5.659
! - Crystal system: orthorhombic



! PBE SrBe2Cu, optimized geometry; values from VASP
&SYSTEM
  ibrav = 0, nat = 4, ntyp = 3
/
ATOMIC_SPECIES
Sr 87.62 Sr.upf
Cu 63.55 Cu.upf
Be 9.01 Be.upf
ATOMIC_POSITIONS angstrom
Sr 1.744 -5.216 -1.607
Cu 1.782 -2.205 -0.262
Be 0.334 -0.710 0.035
Be -0.211 -2.004 -1.544
CELL_PARAMETERS angstrom
-1.664 -0.948 -3.339
3.195 -0.792 -1.368
0.346 -5.332 1.342
! - Crystal system: monoclinic
! - Polymorph energy (0 for the lowest one): 293.6 meV per atom



For the records above, the corresponding formation energy from the elements values read 107.5; 129.2 kJ/mol of formula units.
For the records above, the corresponding DFT total energy values read -4.4265; -2.9729 eV/atom.